Ac3HoPd2O9: optimized geometry, PBE.

```
data_Ac3HoPd2O9
_cell_length_a 5.8700
_cell_length_b 5.8700
_cell_length_c 7.3752
_cell_angle_alpha 90.00
_cell_angle_beta 90.00
_cell_angle_gamma 120.00
_space_group_name_H-M_alt 'P -3 m 1'
_space_group_IT_number 164
_space_group_name_Hall '-P 3 2"'
loop_
_atom_site_label
_atom_site_type_symbol
_atom_site_fract_x
_atom_site_fract_y
_atom_site_fract_z
Ac1 Ac 0.0000 0.0000 0.0000
Ac2 Ac 0.3333 0.6667 0.7153
Ho1 Ho 0.0000 0.0000 0.5000
Pd1 Pd 0.3333 0.6667 0.1663
O1 O 0.0000 0.5000 0.0000
O2 O 0.1641 0.3281 0.3141
```

E_form (uncorrected) = -2274.2 meV per atom
Total magnetic moment = 0.01 Bohr magnetons per cell